(1)
BaSc3Ti | GGA-PBE | relaxed

The value obtained for the formation energy is 455 meV per atom.

The space group is Pm-3m (No. 221) and the conventional cell measures 5.349, 5.349 and 5.349 Å, with angles of 90.00, 90.00 and 90.00 degrees. The inequivalent atoms are Ba at (0.000, 0.000, 0.000), Sc at (0.000, 0.500, 0.500) and Ti at (0.500, 0.500, 0.500).

***

(2)
Ba3ScTi | GGA-PBE | relaxed

The value obtained for the formation energy is 897 meV per atom.

The space group is Pm-3m (No. 221) and the conventional cell measures 6.199, 6.199 and 6.199 Å, with angles of 90.00, 90.00 and 90.00 degrees. The inequivalent atoms are Ba at (0.000, 0.000, 0.500), Sc at (0.500, 0.500, 0.500) and Ti at (0.000, 0.000, 0.000).

***

(3)
Ba2YScTi | GGA-PBE | relaxed

The value obtained for the formation energy is 928 meV per atom.

The space group is P4/mmm (No. 123) and the conventional cell measures 6.290, 6.290 and 4.914 Å, with angles of 90.00, 90.00 and 90.00 degrees. The inequivalent atoms are Ba at (0.000, 0.500, 0.000), Y at (0.000, 0.000, 0.500), Sc at (0.500, 0.500, 0.000) and Ti at (0.500, 0.500, 0.500).